1.
PrZnIr | PBE | optimized geometry

E_tot ... -5.467 eV/atom
Magnetization ... 0.000 μB/f.u.

abc: 4.377 4.377 3.929
angles: 90.00 90.00 120.00
Fractional positions:
Pr: 0.000 0.000 0.000
Zn: 0.333 0.667 0.500
Ir: 0.667 0.333 0.500



2.
Pr2Ho6Tm3Mg | PBE | optimized geometry

E_tot ... -4.314 eV/atom
Magnetization ... 0.000 μB/f.u.

abc: 6.099 6.099 11.702
angles: 95.01 95.01 120.04
Fractional positions:
Pr: 0.166 0.834 0.000
Pr: 0.834 0.166 0.000
Ho: 0.085 0.416 0.746
Ho: 0.253 0.253 0.255
Ho: 0.416 0.085 0.746
Ho: 0.584 0.915 0.254
Ho: 0.747 0.747 0.745
Ho: 0.915 0.584 0.254
Tm: 0.000 0.000 0.500
Tm: 0.334 0.666 0.500
Tm: 0.666 0.334 0.500
Mg: 0.500 0.500 0.000



Which of these has the highest E_tot? Pr2Ho6Tm3Mg



Among the records above, which one has the highest E_tot? Pr2Ho6Tm3Mg



Look up the E_tot of the second one. -4.314 eV/atom